Computed, not measured: a geometry-optimized LaPuCu structure at the GGA-PBE level of DFT.

abc: 3.0058 21.1040 4.0960
angles: 90.00 90.00 90.00
Space group Cmcm (No. 63)
Unique sites:
La 0.0000 0.1094 0.2500 (multiplicity 4)
Pu 0.0000 0.2477 0.7500 (multiplicity 4)
Cu 0.0000 0.4707 0.2500 (multiplicity 4)

## Properties
total magnetization: 0.0 μB per cell
DFT formation energy: 0.34 eV per atom